1.
VASP calculation (PBE) on ScMoIr after structural relaxation.

Cell: 4.479 4.479 2.846 Å, 90.00 90.00 120.00°
Atoms (fractional coordinates):
Sc: 0.333 0.667 0.659
Mo: 0.667 0.333 0.311
Ir: 0.000 0.000 0.029

Crystal system ... trigonal
Offset from the most stable computed form ... 0.27 eV per formula unit
Energy of formation from the pure elements ... -0.189 eV per atom

2.
VASP calculation (PBE) on ScNiSe2Cl after structural relaxation.

Cell: 4.818 4.367 4.818 Å, 90.00 90.00 90.00°
Atoms (fractional coordinates):
Sc: 0.500 0.500 0.500
Cl: 0.000 0.500 0.000
Se: 0.000 0.000 0.500
Ni: 0.000 0.000 0.000
Se: 0.500 0.000 0.000

Crystal system ... tetragonal
Raw formation energy ... -47.0 kJ per mole of atoms

3.
VASP calculation (PBE) on KCa after structural relaxation.

Cell: 4.060 6.688 7.834 Å, 90.00 90.00 90.00°
Atoms (fractional coordinates):
K: 0.500 0.000 0.513
Ca: 0.000 0.000 0.986
K: 0.000 0.500 0.320
Ca: 0.500 0.500 0.847

Crystal system ... orthorhombic
Energy of formation from the pure elements ... 0.151 eV per atom

4.
VASP calculation (PBE) on KTi2Os after structural relaxation.

Cell: 5.792 5.792 8.680 Å, 70.51 70.51 90.00°
Each line ends with the local moment (μB).
Atoms (fractional coordinates):
K: 0.250 0.750 0.500  0.01
Os: 0.750 0.250 0.500  -0.12
Ti: 0.875 0.125 0.250  0.48
Os: 0.000 0.000 0.000  -0.12
Ti: 0.875 0.625 0.250  0.49
K: 0.500 0.500 0.000  0.01
Ti: 0.875 0.125 0.750  0.47
Ti: 0.375 0.125 0.750  0.42

Crystal system ... tetragonal
Offset from the most stable computed form ... 1.34 eV per formula unit
Energy of formation from the pure elements ... 1.118 eV per atom

5.
VASP calculation (PBE) on Ge2Sb2Br after structural relaxation.

Cell: 8.455 8.455 3.483 Å, 90.00 90.00 90.00°
Atoms (fractional coordinates):
Sb: 0.143 0.643 0.500
Br: 0.000 0.000 0.000
Ge: 0.649 0.149 0.000
Sb: 0.357 0.143 0.500
Ge: 0.851 0.649 0.000
Ge: 0.351 0.851 0.000
Br: 0.500 0.500 0.000
Ge: 0.149 0.351 0.000
Sb: 0.643 0.857 0.500
Sb: 0.857 0.357 0.500

Crystal system ... tetragonal
Raw formation energy ... 16.1 kJ per mole of atoms
Offset from the most stable computed form ... 0.42 eV per formula unit

6.
VASP calculation (PBE) on BeRe2Pb after structural relaxation.

Cell: 4.712 4.712 4.712 Å, 127.85 127.85 76.87°
Atoms (fractional coordinates):
Re: 0.250 0.750 0.500
Pb: 0.750 0.250 0.500
Be: 0.500 0.500 0.000
Re: 0.000 0.000 0.000

Crystal system ... tetragonal
Offset from the most stable computed form ... 2.24 eV per formula unit
Energy of formation from the pure elements ... 0.884 eV per atom